Material: Be2CrSi
Method: DFT, PBE
State: relaxed

ΔE_f (raw) in eV/atom: -0.2656

abc: 4.338 4.338 4.338
angles: 135.64 135.64 64.53
Positions (direct):
Be (0.000, 0.000, 0.000)
Be (0.750, 0.250, 0.500)
Cr (0.250, 0.750, 0.500)
Si (0.500, 0.500, 0.000)

***

Material: La2Dy3PuTe6
Method: DFT, PBE
State: relaxed

ΔE_f (raw) in eV/atom: -1.3687

abc: 9.951 9.951 8.939
angles: 103.44 103.44 25.64
Positions (direct):
La (0.166, 0.166, 0.333)
La (0.834, 0.834, 0.667)
Dy (0.169, 0.169, 0.836)
Dy (0.500, 0.500, 0.500)
Dy (0.831, 0.831, 0.164)
Pu (0.500, 0.500, 0.000)
Te (0.005, 0.005, 0.749)
Te (0.333, 0.333, 0.927)
Te (0.337, 0.337, 0.406)
Te (0.663, 0.663, 0.594)
Te (0.667, 0.667, 0.073)
Te (0.995, 0.995, 0.251)

***

Material: NaLa2MoBr
Method: DFT, PBE
State: relaxed

ΔE_f (raw) in eV/atom: 0.3349

abc: 5.806 5.806 4.685
angles: 90.00 90.00 90.00
Positions (direct):
Na (0.000, 0.000, 0.000)
La (0.000, 0.500, 0.500)
La (0.500, 0.000, 0.500)
Mo (0.500, 0.500, 0.000)
Br (0.500, 0.500, 0.500)

***

Material: Ti3FeRu
Method: DFT, PBE
State: relaxed

ΔE to the lowest computed polymorph in eV per atom: 0.000

abc: 4.384 4.384 4.384
angles: 90.00 90.00 90.00
Positions (direct):
Ti (0.000, 0.000, 0.500)
Ti (0.000, 0.500, 0.000)
Ti (0.500, 0.000, 0.000)
Fe (0.000, 0.000, 0.000)
Ru (0.500, 0.500, 0.500)

***

Number 1: total DFT energy (no corrections) -23.56 eV/cell. Number 2: total DFT energy (no corrections) -73.27 eV/cell. Number 3: total DFT energy (no corrections) -22.00 eV/cell. Number 4: total DFT energy (no corrections) -39.51 eV/cell.